# 1
# LiB2Pd6 PBE relaxed
data_LiB2Pd6
_chemical_formula_sum 'Li2 B4 Pd12'
_symmetry_space_group_name_H-M 'C 1 2/m 1'
_symmetry_Int_Tables_number 12
_cell_length_a 4.9747
_cell_length_b 7.9029
_cell_length_c 6.0965
_cell_angle_alpha 90.00
_cell_angle_beta 99.85
_cell_angle_gamma 90.00
loop_
_symmetry_equiv_pos_as_xyz
'x,y,z'
'-x,-y,-z'
'-x,y,-z'
'x,-y,z'
'x+1/2,y+1/2,z'
'-x+1/2,-y+1/2,-z'
'-x+1/2,y+1/2,-z'
'x+1/2,-y+1/2,z'
loop_
_atom_site_label
_atom_site_fract_x
_atom_site_fract_y
_atom_site_fract_z
Li1 0.0000 0.0000 0.0000
B1 0.0000 0.2320 0.5000
Pd1 0.1640 0.3224 0.2108
Pd2 0.2251 0.0000 0.3916
# Crystal system: monoclinic

***

# 2
# LiB2Pd2 PBE relaxed
data_LiB2Pd2
_chemical_formula_sum 'Li2 B4 Pd4'
_symmetry_space_group_name_H-M 'I 4/m m m'
_symmetry_Int_Tables_number 139
_symmetry_space_group_name_Hall '-I 4 2'
_cell_length_a 3.0309
_cell_length_b 3.0309
_cell_length_c 12.3659
_cell_angle_alpha 90.00
_cell_angle_beta 90.00
_cell_angle_gamma 90.00
loop_
_atom_site_label
_atom_site_fract_x
_atom_site_fract_y
_atom_site_fract_z
Li1 0.0000 0.0000 0.0000
B1 0.0000 0.5000 0.2500
Pd1 0.0000 0.0000 0.3761
# Distance to the lowest polymorph of the same formula (meV per atom): 190
# Crystal system: tetragonal

***

# 3
# LiB2Pd PBE relaxed
data_LiB2Pd
_chemical_formula_sum 'Li4 B8 Pd4'
_symmetry_space_group_name_H-M 'I 41/a m d'
_symmetry_Int_Tables_number 141
_cell_length_a 3.3971
_cell_length_b 3.3971
_cell_length_c 16.1754
_cell_angle_alpha 90.00
_cell_angle_beta 90.00
_cell_angle_gamma 90.00
loop_
_symmetry_equiv_pos_as_xyz
'x,y,z'
'-x,-y,-z'
'-y+1/4,x+3/4,z+1/4'
'y+1/4,-x+3/4,-z+1/4'
'-x+1/2,-y,z+1/2'
'x+1/2,y,-z+1/2'
'y+1/4,-x+1/4,z+3/4'
'-y+1/4,x+1/4,-z+3/4'
'x,-y,-z'
'-x,y,z'
'-y+1/4,-x+1/4,-z+3/4'
'y+1/4,x+1/4,z+3/4'
'-x+1/2,y,-z+1/2'
'x+1/2,-y,z+1/2'
'y+1/4,x+3/4,-z+1/4'
'-y+1/4,-x+3/4,z+1/4'
'x+1/2,y+1/2,z+1/2'
'-x+1/2,-y+1/2,-z+1/2'
'-y+3/4,x+1/4,z+3/4'
'y+3/4,-x+1/4,-z+3/4'
'-x,-y+1/2,z'
'x,y+1/2,-z'
'y+3/4,-x+3/4,z+1/4'
'-y+3/4,x+3/4,-z+1/4'
'x+1/2,-y+1/2,-z+1/2'
'-x+1/2,y+1/2,z+1/2'
'-y+3/4,-x+3/4,-z+1/4'
'y+3/4,x+3/4,z+1/4'
'-x,y+1/2,-z'
'x,-y+1/2,z'
'y+3/4,x+1/4,-z+3/4'
'-y+3/4,-x+1/4,z+3/4'
loop_
_atom_site_label
_atom_site_fract_x
_atom_site_fract_y
_atom_site_fract_z
Li1 0.0000 0.2500 0.3750
B1 0.0000 0.0000 0.0000
Pd1 0.0000 0.2500 0.8750
# Distance to the lowest polymorph of the same formula (meV per atom): 0
# Crystal system: tetragonal

***

# 4
# Li5BPd6 PBE relaxed
data_Li5BPd6
_chemical_formula_sum 'Li10 B2 Pd12'
_symmetry_space_group_name_H-M 'C 1 2/m 1'
_symmetry_Int_Tables_number 12
_cell_length_a 12.9881
_cell_length_b 5.9472
_cell_length_c 4.1848
_cell_angle_alpha 90.00
_cell_angle_beta 108.31
_cell_angle_gamma 90.00
loop_
_symmetry_equiv_pos_as_xyz
'x,y,z'
'-x,-y,-z'
'-x,y,-z'
'x,-y,z'
'x+1/2,y+1/2,z'
'-x+1/2,-y+1/2,-z'
'-x+1/2,y+1/2,-z'
'x+1/2,-y+1/2,z'
loop_
_atom_site_label
_atom_site_fract_x
_atom_site_fract_y
_atom_site_fract_z
Li1 0.0000 0.0000 0.0000
Li2 0.1655 0.0000 0.6627
Li3 0.1787 0.5000 0.6749
B1 0.0000 0.5000 0.0000
Pd1 0.0000 0.2737 0.5000
Pd2 0.1531 0.2664 0.1495
# Crystal system: monoclinic

***

# 5
# Li3BPd PBE relaxed
data_Li3BPd
_chemical_formula_sum 'Li3 B1 Pd1'
_symmetry_space_group_name_H-M 'P m -3 m'
_symmetry_Int_Tables_number 221
_symmetry_space_group_name_Hall '-P 4 2 3'
_cell_length_a 4.1149
_cell_length_b 4.1149
_cell_length_c 4.1149
_cell_angle_alpha 90.00
_cell_angle_beta 90.00
_cell_angle_gamma 90.00
loop_
_atom_site_label
_atom_site_fract_x
_atom_site_fract_y
_atom_site_fract_z
Li1 0.0000 0.0000 0.5000
B1 0.0000 0.0000 0.0000
Pd1 0.5000 0.5000 0.5000
# Distance to the lowest polymorph of the same formula (meV per atom): 0
# Crystal system: cubic

***

# 6
# Li5BPd8 PBE relaxed
data_Li5BPd8
_chemical_formula_sum 'Li10 B2 Pd16'
_symmetry_space_group_name_H-M 'I -4'
_symmetry_Int_Tables_number 82
_cell_length_a 7.0072
_cell_length_b 7.0072
_cell_length_c 7.9894
_cell_angle_alpha 90.00
_cell_angle_beta 90.00
_cell_angle_gamma 90.00
loop_
_symmetry_equiv_pos_as_xyz
'x,y,z'
'y,-x,-z'
'-x,-y,z'
'-y,x,-z'
'x+1/2,y+1/2,z+1/2'
'y+1/2,-x+1/2,-z+1/2'
'-x+1/2,-y+1/2,z+1/2'
'-y+1/2,x+1/2,-z+1/2'
loop_
_atom_site_label
_atom_site_fract_x
_atom_site_fract_y
_atom_site_fract_z
Li1 0.0000 0.0000 0.0000
Li2 0.1205 0.2234 0.4364
B1 0.0000 0.5000 0.7500
Pd1 0.0595 0.2144 0.7609
Pd2 0.0759 0.3167 0.1215
# Crystal system: tetragonal

***

# 7
# LiB2Pd8 PBE relaxed
data_LiB2Pd8
_chemical_formula_sum 'Li2 B4 Pd16'
_symmetry_space_group_name_H-M 'C 1 2/m 1'
_symmetry_Int_Tables_number 12
_cell_length_a 7.0930
_cell_length_b 10.1132
_cell_length_c 4.3393
_cell_angle_alpha 90.00
_cell_angle_beta 104.49
_cell_angle_gamma 90.00
loop_
_symmetry_equiv_pos_as_xyz
'x,y,z'
'-x,-y,-z'
'-x,y,-z'
'x,-y,z'
'x+1/2,y+1/2,z'
'-x+1/2,-y+1/2,-z'
'-x+1/2,y+1/2,-z'
'x+1/2,-y+1/2,z'
loop_
_atom_site_label
_atom_site_fract_x
_atom_site_fract_y
_atom_site_fract_z
Li1 0.0000 0.0000 0.0000
B1 0.0000 0.3163 0.5000
Pd1 0.0000 0.2508 0.0000
Pd2 0.1143 0.5000 0.7964
Pd3 0.1984 0.1324 0.5924
# Crystal system: monoclinic

***

# 8
# LiBPd5 PBE relaxed
data_LiBPd5
_chemical_formula_sum 'Li1 B1 Pd5'
_symmetry_space_group_name_H-M 'P 4/m m m'
_symmetry_Int_Tables_number 123
_symmetry_space_group_name_Hall '-P 4 2'
_cell_length_a 3.8177
_cell_length_b 3.8177
_cell_length_c 6.7269
_cell_angle_alpha 90.00
_cell_angle_beta 90.00
_cell_angle_gamma 90.00
loop_
_atom_site_label
_atom_site_fract_x
_atom_site_fract_y
_atom_site_fract_z
Li1 0.0000 0.0000 0.0000
B1 0.5000 0.5000 0.5000
Pd1 0.0000 0.5000 0.3039
Pd2 0.5000 0.5000 0.0000
# Distance to the lowest polymorph of the same formula (meV per atom): 0
# Crystal system: tetragonal

***

# 9
# Li3BPd4 PBE relaxed
data_Li3BPd4
_chemical_formula_sum 'Li6 B2 Pd8'
_symmetry_space_group_name_H-M 'I m m 2'
_symmetry_Int_Tables_number 44
_cell_length_a 5.3756
_cell_length_b 7.0441
_cell_length_c 7.3051
_cell_angle_alpha 90.00
_cell_angle_beta 90.00
_cell_angle_gamma 90.00
loop_
_symmetry_equiv_pos_as_xyz
'x,y,z'
'-x,-y,z'
'-x,y,z'
'x,-y,z'
'x+1/2,y+1/2,z+1/2'
'-x+1/2,-y+1/2,z+1/2'
'-x+1/2,y+1/2,z+1/2'
'x+1/2,-y+1/2,z+1/2'
loop_
_atom_site_label
_atom_site_fract_x
_atom_site_fract_y
_atom_site_fract_z
Li1 0.0000 0.0000 0.0000
Li2 0.0000 0.2409 0.6282
B1 0.0000 0.5000 0.0627
Pd1 0.0000 0.3072 0.2603
Pd2 0.2492 0.0000 0.3621
# Distance to the lowest polymorph of the same formula (meV per atom): 97
# Crystal system: orthorhombic

***

# 10
# LiBPd2 PBE relaxed
data_LiBPd2
_chemical_formula_sum 'Li1 B1 Pd2'
_symmetry_space_group_name_H-M 'P 4/m m m'
_symmetry_Int_Tables_number 123
_symmetry_space_group_name_Hall '-P 4 2'
_cell_length_a 3.9185
_cell_length_b 3.9185
_cell_length_c 2.9284
_cell_angle_alpha 90.00
_cell_angle_beta 90.00
_cell_angle_gamma 90.00
loop_
_atom_site_label
_atom_site_fract_x
_atom_site_fract_y
_atom_site_fract_z
Li1 0.0000 0.0000 0.0000
B1 0.5000 0.5000 0.0000
Pd1 0.0000 0.5000 0.5000
# Crystal system: tetragonal

***

# 11
# LiBPd5 PBE relaxed
data_LiBPd5
_chemical_formula_sum 'Li4 B4 Pd20'
_symmetry_space_group_name_H-M 'I m m a'
_symmetry_Int_Tables_number 74
_symmetry_space_group_name_Hall '-I 2b 2'
_cell_length_a 6.7613
_cell_length_b 8.0189
_cell_length_c 8.4093
_cell_angle_alpha 90.00
_cell_angle_beta 90.00
_cell_angle_gamma 90.00
loop_
_atom_site_label
_atom_site_fract_x
_atom_site_fract_y
_atom_site_fract_z
Li1 0.0000 0.2500 0.1180
B1 0.0000 0.0000 0.5000
Pd1 0.0000 0.0811 0.7332
Pd2 0.0000 0.2500 0.4217
Pd3 0.2016 0.0000 0.0000
# Distance to the lowest polymorph of the same formula (meV per atom): 128
# Crystal system: orthorhombic

***

# 12
# Li3BPd PBE relaxed
data_Li3BPd
_chemical_formula_sum 'Li3 B1 Pd1'
_symmetry_space_group_name_H-M 'P m -3 m'
_symmetry_Int_Tables_number 221
_symmetry_space_group_name_Hall '-P 4 2 3'
_cell_length_a 4.5830
_cell_length_b 4.5830
_cell_length_c 4.5830
_cell_angle_alpha 90.00
_cell_angle_beta 90.00
_cell_angle_gamma 90.00
loop_
_atom_site_label
_atom_site_fract_x
_atom_site_fract_y
_atom_site_fract_z
Li1 0.0000 0.0000 0.5000
B1 0.5000 0.5000 0.5000
Pd1 0.0000 0.0000 0.0000
# Distance to the lowest polymorph of the same formula (meV per atom): 385
# Crystal system: cubic

***

Number 1: calculated formation energy -0.190 eV/atom. Number 2: calculated formation energy 0.022 eV/atom. Number 3: calculated formation energy 0.108 eV/atom. Number 4: calculated formation energy -0.361 eV/atom. Number 5: calculated formation energy 0.476 eV/atom. Number 6: calculated formation energy -0.279 eV/atom. Number 7: calculated formation energy -0.172 eV/atom. Number 8: calculated formation energy -0.165 eV/atom. Number 9: calculated formation energy -0.218 eV/atom. Number 10: calculated formation energy -0.131 eV/atom. Number 11: calculated formation energy -0.037 eV/atom. Number 12: calculated formation energy 0.861 eV/atom.